CaSbPd2 after structural relaxation, computed with PBE.

Geometry as POSCAR:
```
CaSbPd2
1.0
7.6304 0.0000 0.0000
0.0000 7.2632 0.0000
0.0000 0.0000 6.1867
Ca Sb Pd
4 4 8
direct
0.0218 0.2500 0.1603 Ca
0.4782 0.7500 0.6603 Ca
0.5218 0.2500 0.3397 Ca
0.9782 0.7500 0.8397 Ca
0.1246 0.7500 0.3388 Sb
0.3754 0.2500 0.8388 Sb
0.6246 0.7500 0.1612 Sb
0.8754 0.2500 0.6612 Sb
0.1774 0.0506 0.5729 Pd
0.1774 0.4494 0.5729 Pd
0.3226 0.5506 0.0729 Pd
0.3226 0.9494 0.0729 Pd
0.6774 0.0506 0.9271 Pd
0.6774 0.4494 0.9271 Pd
0.8226 0.5506 0.4271 Pd
0.8226 0.9494 0.4271 Pd
```

Computed properties:
The crystal system is orthorhombic. For the uncorrected formation energy, the calculation gives -0.79 eV/atom. The total magnetic moment comes out at 0.0 μB per formula unit. The calculated volume comes out at 21.430 A^3/atom.

=====

Ca2Sb4Pd3 after structural relaxation, computed with PBE.

Geometry as POSCAR:
```
Ca2Sb4Pd3
1.0
-2.2577 2.2577 21.0298
2.2577 -2.2577 21.0298
2.2577 2.2577 -21.0298
Ca Sb Pd
4 8 6
direct
0.0546 0.0546 0.0000 Ca
0.1870 0.1870 0.0000 Ca
0.8130 0.8130 0.0000 Ca
0.9454 0.9454 0.0000 Ca
0.1172 0.6172 0.5000 Sb
0.2848 0.2848 0.0000 Sb
0.3828 0.8828 0.5000 Sb
0.4626 0.4626 0.0000 Sb
0.5374 0.5374 0.0000 Sb
0.6172 0.1172 0.5000 Sb
0.7152 0.7152 0.0000 Sb
0.8828 0.3828 0.5000 Sb
0.0000 0.5000 0.5000 Pd
0.2500 0.7500 0.5000 Pd
0.3468 0.3468 0.0000 Pd
0.5000 0.0000 0.5000 Pd
0.6532 0.6532 0.0000 Pd
0.7500 0.2500 0.5000 Pd
```

Computed properties:
The crystal system is tetragonal. For the uncorrected formation energy, the calculation gives -0.72 eV/atom. The total magnetic moment comes out at 0.0 μB per formula unit. The calculated volume comes out at 23.820 A^3/atom.

=====

Ca2Sb7Pd12 after structural relaxation, computed with PBE.

Geometry as POSCAR:
```
Ca2Sb7Pd12
1.0
10.6428 0.0000 0.0000
-5.3214 9.2169 0.0000
0.0000 0.0000 4.2777
Ca Sb Pd
2 7 12
direct
0.3333 0.6667 0.2393 Ca
0.6667 0.3333 0.7607 Ca
0.0000 0.0000 0.5000 Sb
0.1139 0.7061 0.7356 Sb
0.2939 0.4078 0.7356 Sb
0.4078 0.1139 0.2644 Sb
0.5922 0.8861 0.7356 Sb
0.7061 0.5922 0.2644 Sb
0.8861 0.2939 0.2644 Sb
0.0586 0.4353 0.7559 Pd
0.1185 0.2574 0.2230 Pd
0.1390 0.8815 0.2230 Pd
0.2574 0.1390 0.7770 Pd
0.3766 0.9414 0.7559 Pd
0.4353 0.3766 0.2441 Pd
0.5647 0.6234 0.7559 Pd
0.6234 0.0586 0.2441 Pd
0.7426 0.8610 0.2230 Pd
0.8610 0.1185 0.7770 Pd
0.8815 0.7426 0.7770 Pd
0.9414 0.5647 0.2441 Pd
```

Computed properties:
The crystal system is trigonal. For the uncorrected formation energy, the calculation gives -0.58 eV/atom. The total magnetic moment comes out at 0.0 μB per formula unit. The calculated volume comes out at 19.982 A^3/atom.

=====

CaSb3Pd after structural relaxation, computed with PBE.

Geometry as POSCAR:
```
CaSb3Pd
1.0
5.6257 0.0000 0.0000
0.0000 5.6257 0.0000
0.0000 0.0000 5.6257
Ca Sb Pd
1 3 1
direct
0.0000 0.0000 0.0000 Ca
0.0000 0.0000 0.5000 Sb
0.0000 0.5000 0.0000 Sb
0.5000 0.0000 0.0000 Sb
0.5000 0.5000 0.5000 Pd
```

Computed properties:
The crystal system is cubic. For the uncorrected formation energy, the calculation gives 0.89 eV/atom. The total magnetic moment comes out at 0.0 μB per formula unit. The calculated volume comes out at 35.609 A^3/atom.